1.
The following is a PBE calculation of As2RhC after structural relaxation, from Alexandria via LeMat-Bulk.

abc: 5.3720 5.3720 5.8707
angles: 62.77 62.77 90.00
With the nearest neighbours (Å) after each atom.
Atoms (fractional coordinates):
C  0.2500  0.7500  0.5000  4 As 2.04
C  0.5000  0.5000  0.0000  4 As 2.04
As  0.5713  0.1250  0.2500  2 C 2.04
As  0.8750  0.8213  0.7500  2 C 2.04
As  0.1787  0.6250  0.2500  2 C 2.04
As  0.3750  0.4287  0.7500  2 C 2.04
Rh  0.0000  0.0000  0.0000  4 As 2.39
Rh  0.7500  0.2500  0.5000  4 As 2.39

Calculated values
Total magnetic moment (μB per formula unit): 0.00
SG: No. 122
Fermi-level density of states (states/eV per cell): 6.0
Formation energy from the elements (meV/atom): 419


2.
The following is a PBE calculation of AsRhC2 after structural relaxation, from Alexandria via LeMat-Bulk.

abc: 4.7524 4.7524 5.5145
angles: 64.48 64.48 90.00
With the nearest neighbours (Å) after each atom.
Atoms (fractional coordinates):
Rh  0.7500  0.2500  0.5000  4 C 2.05
Rh  0.0000  0.0000  0.0000  4 C 2.05
C  0.1392  0.6250  0.2500  2 As 1.97, 2 Rh 2.05
C  0.3750  0.3892  0.7500  2 As 1.97, 2 Rh 2.05
C  0.6108  0.1250  0.2500  2 As 1.97, 2 Rh 2.05
C  0.8750  0.8608  0.7500  2 As 1.97, 2 Rh 2.05
As  0.2500  0.7500  0.5000  4 C 1.97
As  0.5000  0.5000  0.0000  4 C 1.97

Calculated values
Total magnetic moment (μB per formula unit): 0.00
SG: No. 122
Fermi-level density of states (states/eV per cell): 0.7
Formation energy from the elements (meV/atom): 873


3.
The following is a PBE calculation of As3RhC after structural relaxation, from Alexandria via LeMat-Bulk.

abc: 4.2494 4.2494 4.2494
angles: 90.00 90.00 90.00
With the nearest neighbours (Å) after each atom.
Atoms (fractional coordinates):
As  0.0000  0.0000  0.5000  2 C 2.12
As  0.5000  0.0000  0.0000  2 C 2.12
As  0.0000  0.5000  0.0000  2 C 2.12
C  0.0000  0.0000  0.0000  6 As 2.12
Rh  0.5000  0.5000  0.5000  12 As 3.00

Calculated values
Total magnetic moment (μB per formula unit): 0.00
SG: No. 221
Fermi-level density of states (states/eV per cell): 3.3
Formation energy from the elements (meV/atom): 958


4.
The following is a PBE calculation of AsRh2C after structural relaxation, from Alexandria via LeMat-Bulk.

abc: 4.9948 4.9948 6.1943
angles: 66.22 66.22 90.00
With the nearest neighbours (Å) after each atom.
Atoms (fractional coordinates):
Rh  0.2051  0.6250  0.2500  2 C 1.97
Rh  0.5449  0.1250  0.2500  2 C 1.97
Rh  0.3750  0.4551  0.7500  2 C 1.97
Rh  0.8750  0.7949  0.7500  2 C 1.97
As  0.7500  0.2500  0.5000  4 Rh 2.43
As  0.0000  0.0000  0.0000  4 Rh 2.43
C  0.5000  0.5000  0.0000  4 Rh 1.97
C  0.2500  0.7500  0.5000  4 Rh 1.97

Calculated values
Total magnetic moment (μB per formula unit): 0.00
SG: No. 122
Fermi-level density of states (states/eV per cell): 3.4
Formation energy from the elements (meV/atom): 141


5.
The following is a PBE calculation of AsRhC3 after structural relaxation, from Alexandria via LeMat-Bulk.

abc: 3.8640 3.8640 3.8640
angles: 90.00 90.00 90.00
With the nearest neighbours (Å) after each atom.
Atoms (fractional coordinates):
C  0.0000  0.5000  0.0000  2 As 1.93
C  0.5000  0.0000  0.0000  2 As 1.93
C  0.0000  0.0000  0.5000  2 As 1.93
As  0.0000  0.0000  0.0000  6 C 1.93
Rh  0.5000  0.5000  0.5000  12 C 2.73

Calculated values
Total magnetic moment (μB per formula unit): 0.00
SG: No. 221
Fermi-level density of states (states/eV per cell): 4.2
Formation energy from the elements (meV/atom): 2654


6.
The following is a PBE calculation of ScAsRhC2 after structural relaxation, from Alexandria via LeMat-Bulk.

abc: 3.9258 5.0729 3.9258
angles: 90.00 90.00 90.00
With the nearest neighbours (Å) after each atom.
Atoms (fractional coordinates):
Rh  0.5000  0.5000  0.5000  4 Sc 2.78
Sc  0.0000  0.5000  0.0000  2 As 2.54, 4 Rh 2.78
C  0.0000  0.0000  0.5000  2 As 1.96
C  0.5000  0.0000  0.0000  2 As 1.96
As  0.0000  0.0000  0.0000  4 C 1.96

Calculated values
Total magnetic moment (μB per formula unit): 0.00
SG: No. 123
Fermi-level density of states (states/eV per cell): 3.5
Formation energy from the elements (meV/atom): 1791